[1]
Material: TbNd3SmSc
Method: DFT, GGA-PBE
State: optimized geometry

The density of states at the Fermi level is 18.49 states/eV per cell. The calculation puts the formation energy at 37 meV per atom. As for the space-group type: Cmcm.

```
data_TbNd3SmSc
_chemical_formula_sum 'Tb2 Nd6 Sm2 Sc2'
_cell_length_a 5.0349
_cell_length_b 8.0197
_cell_length_c 10.1663
_cell_angle_alpha 90.00
_cell_angle_beta 90.00
_cell_angle_gamma 108.29
_space_group_name_H-M_alt 'P 1'
_space_group_IT_number 1
loop_
_space_group_symop_operation_xyz
'x,y,z'
loop_
_atom_site_label
_atom_site_type_symbol
_atom_site_fract_x
_atom_site_fract_y
_atom_site_fract_z
Tb1 Tb 0.0000 0.0000 0.5000
Tb2 Tb 0.0000 0.0000 0.0000
Nd1 Nd 0.6664 0.3327 0.4980
Nd2 Nd 0.3336 0.6673 0.5020
Nd3 Nd 0.3336 0.6673 0.9980
Nd4 Nd 0.6664 0.3327 0.0020
Nd5 Nd 0.1688 0.3376 0.7500
Nd6 Nd 0.8312 0.6624 0.2500
Sm1 Sm 0.4958 0.9916 0.7500
Sm2 Sm 0.5042 0.0084 0.2500
Sc1 Sc 0.8340 0.6681 0.7500
Sc2 Sc 0.1660 0.3319 0.2500
```

---

[2]
Material: Tb5Nd2SmSc
Method: DFT, GGA-PBE
State: optimized geometry

The density of states at the Fermi level is 25.31 states/eV per cell. The calculation puts the formation energy at 155 meV per atom. As for the space-group type: Cmc2_1.

```
data_Tb5Nd2SmSc
_chemical_formula_sum 'Tb10 Nd4 Sm2 Sc2'
_cell_length_a 5.6078
_cell_length_b 10.3521
_cell_length_c 10.4709
_cell_angle_alpha 90.00
_cell_angle_beta 90.00
_cell_angle_gamma 105.72
_space_group_name_H-M_alt 'P 1'
_space_group_IT_number 1
loop_
_space_group_symop_operation_xyz
'x,y,z'
loop_
_atom_site_label
_atom_site_type_symbol
_atom_site_fract_x
_atom_site_fract_y
_atom_site_fract_z
Tb1 Tb 0.3741 0.7482 0.0189
Tb2 Tb 0.7238 0.4475 0.8217
Tb3 Tb 0.4828 0.9656 0.7409
Tb4 Tb 0.2969 0.5938 0.7031
Tb5 Tb 0.9833 0.9665 0.5175
Tb6 Tb 0.6259 0.2518 0.5189
Tb7 Tb 0.2762 0.5525 0.3217
Tb8 Tb 0.5172 0.0344 0.2409
Tb9 Tb 0.7031 0.4062 0.2031
Tb10 Tb 0.0167 0.0335 0.0175
Nd1 Nd 0.8867 0.7735 0.8144
Nd2 Nd 0.1149 0.2298 0.7344
Nd3 Nd 0.1133 0.2265 0.3144
Nd4 Nd 0.8851 0.7702 0.2344
Sm1 Sm 0.5895 0.1791 0.9588
Sm2 Sm 0.4105 0.8209 0.4588
Sc1 Sc 0.8040 0.6080 0.5143
Sc2 Sc 0.1960 0.3920 0.0143
```